# 1
This record from the Alexandria database describes RhClF2 after structural relaxation. The functional is GGA-PBE.

Lattice parameters (Å, degrees): 4.230 4.230 4.230 60.00 60.00 60.00
Last column: magnetic moment on the atom in μB.
Fractional positions:
Rh 0.500 0.500 0.500  2.47
Cl 0.000 0.000 0.000  0.65
F 0.750 0.750 0.750  0.33
F 0.250 0.250 0.250  0.33

Computed properties:
E_form (uncorrected) (eV per formula unit): -0.20
Total moment (μB per formula unit): 4.00

# 2
This record from the Alexandria database describes Al2NiMo after structural relaxation. The functional is GGA-PBE.

Lattice parameters (Å, degrees): 4.957 4.957 4.957 137.00 137.00 62.44
Fractional positions:
Mo 0.500 0.500 0.000
Al 0.250 0.750 0.500
Al 0.000 0.000 0.000
Ni 0.750 0.250 0.500

Computed properties:
Total moment (μB per formula unit): 0.00
ΔH_f (0 K) (meV per atom): -239.2

Number 1: excess energy over the best structure of this formula in the dataset 936.5 meV/atom, density 5.5 g cm⁻³. Number 2: excess energy over the best structure of this formula in the dataset 121.7 meV/atom, density 6.2 g cm⁻³.